[1]
# TcMoH3, relaxed, DFT GGA-PBE
# Magnetic moment = 0.00 μB per cell
# Fermi-level density of states = 4.47 states/eV per cell
# ΔE to the lowest computed polymorph = 0.0000 eV/atom
# Density = 8.13 g cm⁻³
# Calculated volume = 8.0 Å³ per atom
# Electronic total energy = -5.811 eV per atom
# Crystal system = cubic
data_TcMoH3
_chemical_formula_sum 'Tc1 Mo1 H3'
_space_group_name_H-M_alt 'P m -3 m'
_space_group_IT_number 221
_space_group_name_Hall '-P 4 2 3'
_cell_length_a 3.426
_cell_length_b 3.426
_cell_length_c 3.426
_cell_angle_alpha 90.00
_cell_angle_beta 90.00
_cell_angle_gamma 90.00
loop_
_atom_site_label
_atom_site_fract_x
_atom_site_fract_y
_atom_site_fract_z
_atom_site_occupancy
Tc1 0.000 0.000 0.000 1
Mo1 0.500 0.500 0.500 1
H1 0.000 0.000 0.500 1



[2]
# TcMo2H, relaxed, DFT GGA-PBE
# Magnetic moment = 0.00 μB per cell
# Fermi-level density of states = 10.90 states/eV per cell
# ΔE to the lowest computed polymorph = 0.0000 eV/atom
# Density = 9.98 g cm⁻³
# Calculated volume = 12.1 Å³ per atom
# Electronic total energy = -8.760 eV per atom
# Crystal system = trigonal
data_TcMo2H
_chemical_formula_sum 'Tc3 Mo6 H3'
_space_group_name_H-M_alt 'R -3 m'
_space_group_IT_number 166
_space_group_name_Hall '-R 3 2"'
_cell_length_a 2.8393
_cell_length_b 2.8393
_cell_length_c 20.7928
_cell_angle_alpha 90.00
_cell_angle_beta 90.00
_cell_angle_gamma 120.00
loop_
_atom_site_label
_atom_site_fract_x
_atom_site_fract_y
_atom_site_fract_z
_atom_site_occupancy
Tc1 0.0000 0.0000 0.0000 1
Mo1 0.0000 0.0000 0.2279 1
H1 0.0000 0.0000 0.5000 1



Question: What is the formula in the first record?
Answer: TcMoH3



Question: Among the records above, which one has the lowest Fermi-level density of states?
Answer: TcMoH3